No. 1
## Sr2ScSbF (PBE)

Data for a geometry-optimized Sr2ScSbF structure.

Cell: 6.4056 6.4056 4.0672 Å, 90.00 90.00 90.00°
With the nearest neighbours (Å) after each atom.
Space group P4/mmm (No. 123)
Unique sites:
Sr 0.0000 0.5000 0.0000  2 Sc 3.20
Sc 0.0000 0.0000 0.0000  2 F 2.03
Sb 0.5000 0.5000 0.5000  8 Sr 3.79, 2 Sb 4.07
F 0.0000 0.0000 0.5000  2 Sc 2.03

Calculated values
Formation energy from raw total energies, kcal/mol of atoms: -19.6
Calculated volume, Å³/atom: 33.38
DOS at the Fermi energy, states/eV/atom: 0.81
Raw total energy, eV/atom: -3.99

No. 2
## ScTl2SbF (PBE)

Data for a geometry-optimized ScTl2SbF structure.

Cell: 5.9872 5.9872 3.9451 Å, 90.00 90.00 90.00°
With the nearest neighbours (Å) after each atom.
Space group P4/mmm (No. 123)
Unique sites:
Sc 0.0000 0.0000 0.0000  2 F 1.97
Tl 0.0000 0.5000 0.0000  2 Sc 2.99
Sb 0.5000 0.5000 0.5000  8 Tl 3.59, 2 Sb 3.95
F 0.0000 0.0000 0.5000  2 Sc 1.97

Calculated values
Formation energy from raw total energies, kcal/mol of atoms: -18.3
Calculated volume, Å³/atom: 28.28
DOS at the Fermi energy, states/eV/atom: 0.61
Raw total energy, eV/atom: -4.21

No. 3
## ScTlSbF2 (PBE)

Data for a geometry-optimized ScTlSbF2 structure.

Cell: 4.2540 4.2540 6.0143 Å, 90.00 90.00 90.00°
With the nearest neighbours (Å) after each atom.
Space group P4/mmm (No. 123)
Unique sites:
Sc 0.0000 0.0000 0.0000  4 F 2.13
Tl 0.5000 0.5000 0.5000  4 Sb 3.01
Sb 0.0000 0.0000 0.5000  2 Sc 3.01, 4 Tl 3.01
F 0.0000 0.5000 0.0000  2 Sc 2.13

Calculated values
Formation energy from raw total energies, kcal/mol of atoms: -47.5
Calculated volume, Å³/atom: 21.77
DOS at the Fermi energy, states/eV/atom: 0.26
Raw total energy, eV/atom: -5.37

No. 4
## Zr2ScSbF (PBE)

Data for a geometry-optimized Zr2ScSbF structure.

Cell: 5.1399 5.1399 5.2013 Å, 90.00 90.00 90.00°
With the nearest neighbours (Å) after each atom.
Space group P4/mmm (No. 123)
Unique sites:
Zr 0.0000 0.5000 0.0000  2 Sc 2.57
Sc 0.0000 0.0000 0.0000  4 Zr 2.57, 2 Sb 2.60
Sb 0.0000 0.0000 0.5000  2 Sc 2.60
F 0.5000 0.5000 0.5000  4 Sb 3.63, 8 Zr 3.66

Calculated values
Formation energy from raw total energies, kcal/mol of atoms: 12.5
Calculated volume, Å³/atom: 27.48
DOS at the Fermi energy, states/eV/atom: 1.00
Raw total energy, eV/atom: -5.34

No. 5
## SbSe2F (PBE)

Data for a geometry-optimized SbSe2F structure.

Cell: 3.1159 3.1159 28.1770 Å, 90.00 90.00 120.00°
With the nearest neighbours (Å) after each atom.
Space group R-3m (No. 166, hexagonal axes)
Unique sites:
Sb 0.0000 0.0000 0.0000  2 Se 2.73
Se 0.0000 0.0000 0.0970  3 F 2.66, 1 Sb 2.73
F 0.0000 0.0000 0.5000  6 Se 2.66

Calculated values
Formation energy from raw total energies, kcal/mol of atoms: -0.6
Calculated volume, Å³/atom: 19.74
DOS at the Fermi energy, states/eV/atom: 0.68
Raw total energy, eV/atom: -3.27
Offset from the most stable computed form, meV per atom: 698

No. 6
## Sb2SeF (PBE)

Data for a geometry-optimized Sb2SeF structure.

Cell: 6.9633 6.9633 6.9633 Å, 90.00 90.00 90.00°
With the nearest neighbours (Å) after each atom.
Space group Fm-3m (No. 225)
Unique sites:
Sb 0.2500 0.2500 0.2500  4 F 3.02, 4 Se 3.02
Se 0.0000 0.0000 0.0000  8 Sb 3.02
F 0.0000 0.0000 0.5000  8 Sb 3.02

Calculated values
Formation energy from raw total energies, kcal/mol of atoms: -8.1
Calculated volume, Å³/atom: 21.10
DOS at the Fermi energy, states/eV/atom: 0.38
Raw total energy, eV/atom: -3.75
Offset from the most stable computed form, meV per atom: 136

No. 7
## SbSe3F (PBE)

Data for a geometry-optimized SbSe3F structure.

Cell: 4.7306 4.7306 4.7306 Å, 90.00 90.00 90.00°
With the nearest neighbours (Å) after each atom.
Space group Pm-3m (No. 221)
Unique sites:
Sb 0.0000 0.0000 0.0000  12 Se 3.35
Se 0.0000 0.5000 0.5000  2 F 2.37
F 0.5000 0.5000 0.5000  6 Se 2.37

Calculated values
Formation energy from raw total energies, kcal/mol of atoms: 7.9
Calculated volume, Å³/atom: 21.17
DOS at the Fermi energy, states/eV/atom: 1.12
Raw total energy, eV/atom: -2.95
Offset from the most stable computed form, meV per atom: 0

No. 8
## SbSe3F (PBE)

Data for a geometry-optimized SbSe3F structure.

Cell: 5.2529 5.2529 5.2529 Å, 90.00 90.00 90.00°
With the nearest neighbours (Å) after each atom.
Space group Pm-3m (No. 221)
Unique sites:
Sb 0.0000 0.0000 0.0000  6 Se 2.63
Se 0.0000 0.0000 0.5000  2 Sb 2.63
F 0.5000 0.5000 0.5000  12 Se 3.71

Calculated values
Formation energy from raw total energies, kcal/mol of atoms: 11.0
Calculated volume, Å³/atom: 28.99
DOS at the Fermi energy, states/eV/atom: 1.47
Raw total energy, eV/atom: -2.81
Offset from the most stable computed form, meV per atom: 133

Look up the DOS at the Fermi energy of the eighth one.
1.47 states/eV/atom